(1)
# Y3Ho3Cd (PBE, optimized geometry)
# * Fermi-level density of states: 21.7 states/eV/cell
# * uncorrected energy: -4.90 eV per atom
# * SG: P6_3/m, No. 176
# * energy of formation: -40 meV per atom
data_Y3Ho3Cd
_chemical_formula_sum 'Y6 Ho6 Cd2'
_cell_length_a 5.505
_cell_length_b 9.393
_cell_length_c 9.394
_cell_angle_alpha 120.03
_cell_angle_beta 90.00
_cell_angle_gamma 90.00
_space_group_name_H-M_alt 'P 1'
_space_group_IT_number 1
loop_
_space_group_symop_operation_xyz
'x,y,z'
loop_
_atom_site_label
_atom_site_type_symbol
_atom_site_fract_x
_atom_site_fract_y
_atom_site_fract_z
Y1 Y 0.250 0.371 0.893
Cd1 Cd 0.250 0.667 0.333
Y2 Y 0.750 0.478 0.371
Ho1 Ho 0.750 0.759 0.822
Y3 Y 0.750 0.629 0.107
Y4 Y 0.750 0.893 0.522
Ho2 Ho 0.250 0.938 0.759
Ho3 Ho 0.750 0.062 0.241
Cd2 Cd 0.750 0.333 0.667
Y5 Y 0.250 0.522 0.629
Ho4 Ho 0.250 0.241 0.178
Ho5 Ho 0.250 0.822 0.062
Y6 Y 0.250 0.107 0.478
Ho6 Ho 0.750 0.178 0.938



(2)
# Tb12Pm3Nd (PBE, optimized geometry)
# * Fermi-level density of states: 22.2 states/eV/cell
# * uncorrected energy: -4.64 eV per atom
# * SG: P4/mmm, No. 123
# * energy of formation: 17 meV per atom
data_Tb12Pm3Nd
_chemical_formula_sum 'Tb12 Pm3 Nd1'
_cell_length_a 5.070
_cell_length_b 5.070
_cell_length_c 20.265
_cell_angle_alpha 90.00
_cell_angle_beta 90.00
_cell_angle_gamma 90.00
_space_group_name_H-M_alt 'P 1'
_space_group_IT_number 1
loop_
_space_group_symop_operation_xyz
'x,y,z'
loop_
_atom_site_label
_atom_site_type_symbol
_atom_site_fract_x
_atom_site_fract_y
_atom_site_fract_z
Tb1 Tb 0.500 0.500 0.750
Tb2 Tb 0.500 0.500 0.250
Pm1 Pm 0.000 0.000 0.500
Nd1 Nd 0.000 0.000 0.000
Tb3 Tb 0.000 0.500 0.375
Tb4 Tb 0.500 0.000 0.625
Pm2 Pm 0.000 0.000 0.250
Tb5 Tb 0.500 0.000 0.875
Tb6 Tb 0.500 0.000 0.125
Tb7 Tb 0.000 0.500 0.125
Tb8 Tb 0.000 0.500 0.625
Tb9 Tb 0.500 0.500 0.500
Tb10 Tb 0.000 0.500 0.875
Pm3 Pm 0.000 0.000 0.750
Tb11 Tb 0.500 0.500 0.000
Tb12 Tb 0.500 0.000 0.375